(1)
Density functional theory data (GGA-PBE) for a relaxed structure of PtC3Br.

The uncorrected formation energy comes out at 3.533 eV/atom. As for the polymorph energy (0 for the lowest one): 1009 meV/atom. The total energy comes out at -3.544 eV per atom.

It has space group Pm-3m (No. 221), with a = 3.880 Å, b = 3.880 Å, c = 3.880 Å, α = 90.00°, β = 90.00° and γ = 90.00°. The distinct sites, in fractional coordinates, are Pt at (0.000, 0.000, 0.000), C at (0.000, 0.500, 0.500) and Br at (0.500, 0.500, 0.500).


(2)
Density functional theory data (GGA-PBE) for a relaxed structure of HfVP3.

The value obtained for the formation energy is 0.63 eV per atom. As for the polymorph energy (0 for the lowest one): 413 meV/atom. The total energy comes out at -6.435 eV per atom.

It has space group Pm-3m (No. 221), with a = 4.912 Å, b = 4.912 Å, c = 4.912 Å, α = 90.00°, β = 90.00° and γ = 90.00°. The distinct sites, in fractional coordinates, are Hf at (0.000, 0.000, 0.000), V at (0.500, 0.500, 0.500) and P at (0.000, 0.000, 0.500).


(3)
Density functional theory data (GGA-PBE) for a relaxed structure of AcYZn2Ga2.

The value obtained for the formation energy is -0.55 eV per atom. The total energy comes out at -3.744 eV per atom.

It has space group P-3m1 (No. 164), with a = 4.4872 Å, b = 4.4872 Å, c = 7.9033 Å, α = 90.00°, β = 90.00° and γ = 120.00°. The distinct sites, in fractional coordinates, are Ac at (0.0000, 0.0000, 0.0000), Y at (0.0000, 0.0000, 0.5000), Zn at (0.3333, 0.6667, 0.7042) and Ga at (0.3333, 0.6667, 0.2842).


(4)
Density functional theory data (GGA-PBE) for a relaxed structure of LiAuOF2.

The uncorrected formation energy comes out at -0.756 eV/atom. As for the polymorph energy (0 for the lowest one): 160 meV/atom. The total energy comes out at -3.535 eV per atom.

It has space group P4/mmm (No. 123), with a = 3.525 Å, b = 3.525 Å, c = 4.221 Å, α = 90.00°, β = 90.00° and γ = 90.00°. The distinct sites, in fractional coordinates, are Li at (0.000, 0.000, 0.000), Au at (0.500, 0.500, 0.500), O at (0.000, 0.000, 0.500) and F at (0.000, 0.500, 0.000).


(5)
Density functional theory data (GGA-PBE) for a relaxed structure of Tb2TcI.

The uncorrected formation energy comes out at -0.401 eV/atom. As for the polymorph energy (0 for the lowest one): 0 meV/atom. The total energy comes out at -5.696 eV per atom.

It has space group P4/mmm (No. 123), with a = 3.559 Å, b = 3.559 Å, c = 8.180 Å, α = 90.00°, β = 90.00° and γ = 90.00°. The distinct sites, in fractional coordinates, are Tb at (0.000, 0.000, 0.197), Tc at (0.500, 0.500, 0.000) and I at (0.500, 0.500, 0.500).


(6)
Density functional theory data (GGA-PBE) for a relaxed structure of Ca2HgB2.

The value obtained for the formation energy is 0.32 eV per atom. As for the polymorph energy (0 for the lowest one): 0 meV/atom. The total energy comes out at -3.207 eV per atom.

It has space group P4/mbm (No. 127), with a = 8.015 Å, b = 8.015 Å, c = 3.776 Å, α = 90.00°, β = 90.00° and γ = 90.00°. The distinct sites, in fractional coordinates, are Ca at (0.158, 0.342, 0.000), Hg at (0.000, 0.000, 0.000) and B at (0.068, 0.568, 0.500).


(7)
Density functional theory data (GGA-PBE) for a relaxed structure of TlSb2As2.

The uncorrected formation energy comes out at 0.109 eV/atom. As for the polymorph energy (0 for the lowest one): 0 meV/atom. The total energy comes out at -3.873 eV per atom.

It has space group I4/mmm (No. 139), with a = 5.304 Å, b = 5.304 Å, c = 10.627 Å, α = 90.00°, β = 90.00° and γ = 90.00°. The distinct sites, in fractional coordinates, are Tl at (0.000, 0.000, 0.000), Sb at (0.000, 0.000, 0.345) and As at (0.000, 0.500, 0.250).


(8)
Density functional theory data (GGA-PBE) for a relaxed structure of Y7Er2Tm2.

The value obtained for the formation energy is 0.10 eV per atom. As for the polymorph energy (0 for the lowest one): 0 meV/atom. The total energy comes out at -5.657 eV per atom.

It has space group C2/m (No. 12), with a = 8.966 Å, b = 9.383 Å, c = 8.594 Å, α = 90.00°, β = 100.88° and γ = 90.00°. The distinct sites, in fractional coordinates, are Y at (0.000, 0.000, 0.000), Y at (0.155, 0.000, 0.411), Y at (0.234, 0.315, 0.210), Er at (0.104, 0.500, 0.856) and Tm at (0.000, 0.325, 0.500).


Number 1: magnetic moment 0.000 Bohr magnetons per cell. Number 2: magnetic moment 2.827 Bohr magnetons per cell. Number 3: magnetic moment 0.000 Bohr magnetons per cell. Number 4: magnetic moment 0.000 Bohr magnetons per cell. Number 5: magnetic moment 0.000 Bohr magnetons per cell. Number 6: magnetic moment 0.000 Bohr magnetons per cell. Number 7: magnetic moment 0.000 Bohr magnetons per cell. Number 8: magnetic moment 0.001 Bohr magnetons per cell.